Record 1
ScInPb2 after structural relaxation. Source: the Alexandria database, functional GGA-PBEsol.

The structure in POSCAR format:
```
ScInPb2
1.0
-2.5034 0.4725 2.1503
0.9356 -2.7287 1.6712
5.5461 5.1615 5.3226
Sc Pb In
1 2 1
Cartesian
2.7014 2.5141 2.5926
3.2246 2.6025 5.7577
0.0881 0.0820 0.0845
0.7372 0.2875 3.3705
```

Output
E (eV/f.u.): -18.174
E_form (meV/atom): -147


Record 2
ScInPb2 after structural relaxation. Source: the Alexandria database, functional GGA-PBEsol.

The structure in POSCAR format:
```
ScInPb2
1.0
-2.1848 -1.4636 2.2548
3.1133 0.4974 3.3394
-2.4062 5.7325 1.3894
Pb Sc In
2 1 1
Cartesian
-2.3728 5.6530 1.3702
-0.1959 1.0895 3.1783
-1.1931 2.8425 0.6890
-1.3253 3.7801 3.8305
```

Output
E (eV/f.u.): -18.259
E_form (meV/atom): -168


Record 3
ScIn2Pb after structural relaxation. Source: the Alexandria database, functional GGA-PBEsol.

The structure in POSCAR format:
```
ScIn2Pb
1.0
-3.0535 1.4657 -0.6755
-0.0103 -2.2659 -4.8697
-0.8859 -3.8674 4.4419
Pb In Sc
1 2 1
Cartesian
-1.5702 -0.6378 -3.1154
-2.7125 -1.2172 0.7911
-3.9054 -2.5164 3.3638
-1.2329 -3.0980 -1.1491
```

Output
E (eV/f.u.): -17.491
E_form (meV/atom): -230


Record 4
ScInPb2 after structural relaxation. Source: the Alexandria database, functional GGA-PBEsol.

The structure in POSCAR format:
```
ScInPb2
1.0
-4.0836 -0.0873 1.7009
-0.7327 -3.8987 -1.9595
4.1667 -0.3978 4.2286
In Pb Sc
1 2 1
Cartesian
0.5129 -3.1448 1.0699
-1.1625 -1.2391 2.9001
0.0000 0.0000 0.0000
-2.4082 -1.9930 -0.1293
```

Output
E (eV/f.u.): -18.386
E_form (meV/atom): -200


Record 5
InPb2Se after structural relaxation. Source: the Alexandria database, functional GGA-PBEsol.

The structure in POSCAR format:
```
InPb2Se
1.0
-1.4806 -2.6176 2.4340
3.5636 -0.8763 1.2253
-0.5115 4.9944 5.0599
Se Pb In
1 2 1
Cartesian
1.0415 -1.7470 1.8296
-0.1163 1.1359 1.1508
-0.3952 3.8585 3.9091
0.7857 0.7502 4.3596
```

Output
E (eV/f.u.): -15.211
Formation energy without anion corrections (eV/atom): -0.10
Energy relative to the lowest polymorph listed for this composition (meV/atom): 10


Record 6
InPbSe2 after structural relaxation. Source: the Alexandria database, functional GGA-PBEsol.

The structure in POSCAR format:
```
InPbSe2
1.0
-2.1773 -3.6064 -0.1225
0.1625 -0.2409 4.2039
-5.1140 3.0749 0.3739
Se Pb In
2 1 1
Cartesian
-3.3735 0.1850 0.1410
-1.8231 -3.2747 1.9948
-4.3812 -1.7391 2.1817
-0.8169 -1.3531 -0.0460
```

Output
E (eV/f.u.): -16.513
Formation energy without anion corrections (eV/atom): -0.46


Record 7
In2PbSe after structural relaxation. Source: the Alexandria database, functional GGA-PBEsol.

The structure in POSCAR format:
```
In2PbSe
1.0
3.8114 0.0000 0.0000
0.0000 3.8114 0.0000
0.0000 0.0000 6.9902
Se In Pb
1 2 1
Cartesian
1.9057 1.9057 5.4179
1.9057 1.9057 1.6664
0.0000 0.0000 6.8226
0.0000 0.0000 3.5686
```

Output
E (eV/f.u.): -14.243
Formation energy without anion corrections (eV/atom): -0.11
Energy relative to the lowest polymorph listed for this composition (meV/atom): 32


Record 8
In2PbSe after structural relaxation. Source: the Alexandria database, functional GGA-PBEsol.

The structure in POSCAR format:
```
In2PbSe
1.0
-1.0502 -2.9396 -2.3683
4.6037 -0.8861 -0.9438
0.2076 -3.6524 4.4416
In Se Pb
2 1 1
Cartesian
4.2289 -1.2060 -1.1894
0.6083 -3.8868 0.5028
3.8783 -2.9465 1.1231
1.4260 -2.2379 -1.9069
```

Output
E (eV/f.u.): -14.373
Formation energy without anion corrections (eV/atom): -0.14
Energy relative to the lowest polymorph listed for this composition (meV/atom): 0


Record 9
InPb2Se after structural relaxation. Source: the Alexandria database, functional GGA-PBEsol.

The structure in POSCAR format:
```
InPb2Se
1.0
3.8819 0.0000 0.0000
1.9409 3.3618 0.0000
1.9409 1.1206 8.6463
Pb In Se
2 1 1
Cartesian
5.8228 3.3618 6.2858
1.9409 1.1206 2.3605
0.0000 0.0000 0.0000
3.8819 2.2412 4.3231
```

Output
E (eV/f.u.): -15.249
Formation energy without anion corrections (eV/atom): -0.10
Energy relative to the lowest polymorph listed for this composition (meV/atom): 0


Record 10
InPbSe2 after structural relaxation. Source: the Alexandria database, functional GGA-PBEsol.

The structure in POSCAR format:
```
InPbSe2
1.0
-3.4178 0.9589 1.4092
-3.1755 -1.4852 -1.5156
-1.7411 -7.0686 5.7625
Se Pb In
2 1 1
Cartesian
-6.4450 -2.7649 1.7765
-1.8894 -4.8300 3.8796
0.0000 0.0000 0.0000
-4.1672 -3.7975 2.8280
```

Output
E (eV/f.u.): -15.871
Formation energy without anion corrections (eV/atom): -0.30


Record 11
InPbSe after structural relaxation. Source: the Alexandria database, functional GGA-PBEsol.

The structure in POSCAR format:
```
InPbSe
1.0
-3.6035 -1.0311 3.4378
0.8516 -3.4783 3.6115
0.6091 1.4520 4.8361
Se Pb In
1 1 1
Cartesian
-0.5357 -0.7644 2.9713
-1.0714 -1.5287 5.9427
0.0000 0.0000 0.0000
```

Output
E (eV/f.u.): -10.748
Formation energy without anion corrections (eV/atom): 0.03


Record 12
InPbSe2 after structural relaxation. Source: the Alexandria database, functional GGA-PBEsol.

The structure in POSCAR format:
```
InPbSe2
1.0
4.0922 0.0000 0.0000
0.0000 4.2557 0.0202
-2.0461 -0.0317 5.9528
Se In Pb
2 1 1
Cartesian
0.0000 1.5775 3.1565
0.0000 3.7261 0.0464
0.0000 1.5667 5.8335
2.0461 3.7055 2.9196
```

Output
E (eV/f.u.): -16.318
Formation energy without anion corrections (eV/atom): -0.41


| no. | N(E_F) (states/eV/cell) |
| --- | --- |
| 1 | 3.1 |
| 2 | 2.5 |
| 3 | 2.2 |
| 4 | 2.0 |
| 5 | 1.9 |
| 6 | 1.3 |
| 7 | 1.9 |
| 8 | 1.3 |
| 9 | 2.0 |
| 10 | 2.5 |
| 11 | 2.0 |
| 12 | 0.8 |